Entry 1:
SrLi2La, relaxed, DFT GGA-PBE; calculated formation energy = 0.166 eV/atom
1.0
11.306 -0.012 -0.007
10.683 3.702 -0.007
10.683 1.793 3.239
Li La Sr
2 1 1
Direct
0.991 0.991 0.991
0.262 0.262 0.262
0.739 0.739 0.739
0.507 0.507 0.507

=====

Entry 2:
SrLi2La, relaxed, DFT GGA-PBE; calculated formation energy = 0.216 eV/atom
1.0
-4.309 2.951 -2.734
-5.528 -0.379 -2.013
-3.147 2.371 5.632
Li La Sr
2 1 1
Direct
0.503 0.503 0.472
0.997 0.997 0.028
0.250 0.250 0.250
0.750 0.750 0.750

=====

Entry 3:
Sr2LiLa, relaxed, DFT GGA-PBE; calculated formation energy = 0.245 eV/atom
1.0
6.989 -0.004 0.000
2.897 6.360 0.000
-4.943 -3.178 3.783
Li Sr La
1 2 1
Direct
0.750 0.250 0.500
0.500 0.500 0.000
0.000 0.000 0.000
0.250 0.750 0.500

=====

Entry 4:
SrLiLa4, relaxed, DFT GGA-PBE; calculated formation energy = 0.313 eV/atom
1.0
0.162 1.045 6.902
-0.859 6.432 2.578
-5.863 1.635 3.422
La Sr Li
4 1 1
Direct
0.376 0.872 0.376
0.376 0.376 0.376
0.872 0.376 0.376
0.376 0.376 0.872
0.000 0.000 0.000
0.750 0.750 0.750

=====

Entry 5:
Sr3LiLa, relaxed, DFT GGA-PBE; calculated formation energy = 0.344 eV/atom
1.0
6.167 0.000 0.000
0.000 6.167 0.000
0.000 0.000 6.167
La Sr Li
1 3 1
Direct
0.500 0.500 0.500
0.500 0.000 0.000
0.000 0.000 0.500
0.000 0.500 0.000
0.000 0.000 0.000

=====

Entry 6:
Sr2LiLa, relaxed, DFT GGA-PBE; calculated formation energy = 0.206 eV/atom
1.0
-1.149 4.195 -0.528
-0.555 -0.929 -6.169
-5.860 -1.510 0.755
Li Sr La
1 2 1
Direct
0.000 0.500 0.500
0.500 0.500 0.000
0.000 0.000 0.000
0.500 0.000 0.500

=====

Entry 7:
SrLi2LaTa, relaxed, DFT GGA-PBE; calculated formation energy = 1.222 eV/atom
1.0
5.016 0.000 0.000
0.000 5.520 0.000
0.000 0.000 5.016
La Sr Li Ta
1 1 2 1
Direct
0.500 0.500 0.500
0.000 0.000 0.000
0.500 0.000 0.000
0.000 0.000 0.500
0.000 0.500 0.000

=====

Entry 8:
SrLiLaTc2, relaxed, DFT GGA-PBE; calculated formation energy = 2.035 eV/atom
1.0
4.962 0.000 0.000
0.000 5.547 0.000
0.000 0.000 4.962
Tc Li La Sr
2 1 1 1
Direct
0.000 0.000 0.500
0.500 0.000 0.000
0.500 0.500 0.500
0.000 0.500 0.000
0.000 0.000 0.000

=====

Entry 9:
Sr4LiLa3Te8, relaxed, DFT GGA-PBE; formation energy from raw total energies = -1.5894 eV/atom
1.0
-5.798 6.995 -1.763
-1.249 -3.215 -8.647
-1.523 -5.560 7.241
Te La Sr Li
8 3 4 1
Direct
0.244 0.738 0.995
0.244 0.739 0.488
0.252 0.256 0.504
0.756 0.262 0.005
0.748 0.744 0.496
0.756 0.261 0.512
0.751 0.738 0.995
0.249 0.262 0.005
0.500 0.500 0.500
0.500 0.500 0.000
0.000 0.500 0.500
0.000 0.000 0.000
0.500 0.000 0.000
0.500 0.000 0.500
0.000 0.000 0.500
0.000 0.500 0.000

=====

Entry 10:
SrLiLaTl, relaxed, DFT GGA-PBE; calculated formation energy = -0.209 eV/atom
1.0
-2.092 -4.875 1.991
3.373 -4.521 0.537
1.490 -1.827 5.152
Tl Li La Sr
1 1 1 1
Direct
0.500 0.500 0.500
0.000 0.000 0.000
0.750 0.750 0.750
0.250 0.250 0.250

=====

Entry 11:
SrLiLa2Tl4, relaxed, DFT GGA-PBE; calculated formation energy = -0.364 eV/atom
1.0
5.522 0.000 0.000
2.761 4.783 0.000
2.761 1.594 9.210
La Tl Li Sr
2 4 1 1
Direct
0.245 0.245 0.266
0.755 0.755 0.734
0.618 0.618 0.145
0.382 0.382 0.855
0.127 0.127 0.619
0.873 0.873 0.381
0.500 0.500 0.500
0.000 0.000 0.000

=====

Entry 12:
Sr3Li2La2Tl4, relaxed, DFT GGA-PBE; calculated formation energy = -0.201 eV/atom
1.0
-2.998 -0.165 4.435
-1.479 -2.773 -4.337
7.850 -11.799 4.867
Tl Li Sr La
4 2 3 2
Direct
0.667 0.333 0.651
0.667 0.333 0.132
0.333 0.667 0.868
0.333 0.667 0.349
0.667 0.333 0.858
0.333 0.667 0.142
0.000 0.000 0.255
0.000 0.000 0.745
0.000 0.000 0.000
0.333 0.667 0.569
0.667 0.333 0.431